# Li2FeGeO4

Li2FeGeO4 at its PBEsol-relaxed geometry (meta-GGA SCAN, the Alexandria database).

It has space group Pmn2_1 (No. 31), with a = 6.3671 Å, b = 5.3959 Å, c = 5.0365 Å, α = 90.00°, β = 90.00° and γ = 90.00°. The distinct sites, in fractional coordinates, are Li at (0.2482, 0.1650, 0.0000), Fe at (0.0000, 0.6786, 0.0006), Ge at (0.0000, 0.3383, 0.4957), O at (0.0000, 0.3344, 0.1432), O at (0.0000, 0.6516, 0.6044) and O at (0.2292, 0.1823, 0.6087).

As for the crystal system: orthorhombic. Its total magnetic moment is 0.50 μB per atom. The total energy comes out at -10.307 eV per atom.

# LiFe3Au

LiFe3Au at its PBEsol-relaxed geometry (meta-GGA SCAN, the Alexandria database).

It has space group Pm-3m (No. 221), with a = 3.9563 Å, b = 3.9563 Å, c = 3.9563 Å, α = 90.00°, β = 90.00° and γ = 90.00°. The distinct sites, in fractional coordinates, are Li at (0.0000, 0.0000, 0.0000), Fe at (0.0000, 0.0000, 0.5000) and Au at (0.5000, 0.5000, 0.5000).

As for the crystal system: cubic. The calculation puts the energy relative to the elements at 0.813 eV/atom. Its total magnetic moment is 1.66 μB per atom. The total energy comes out at -24.374 eV per atom. The distance to the lowest polymorph of the same formula comes out at 0.000 eV/atom.